[1]
Computed, not measured: LiCoSe2 after structural relaxation at the PBE level of DFT.

extended XYZ file:
```
4
Lattice="-0.8185 -3.6236 -2.4979 -2.4866 -3.3386 1.6465 -4.1146 -0.7288 -1.6059" Properties=species:S:1:pos:R:3 pbc="T T T"
Co -3.7098 -3.8455 -1.2287
Se -1.8549 -1.9228 -0.6143
Se -5.5648 -5.7683 -1.8430
Li 0.0000 0.0000 0.0000
```

Summary:
Spin magnetization = 1.982 μB/f.u.
Formation energy from raw total energies = -177 meV per atom

***

[2]
Computed, not measured: LiCo2Se after structural relaxation at the PBE level of DFT.

extended XYZ file:
```
4
Lattice="3.6129 0.0000 0.0000 0.0000 3.6129 0.0000 0.0000 0.0000 3.8026" Properties=species:S:1:pos:R:3 pbc="T T T"
Co 0.0000 0.0000 0.0000
Co 1.8064 1.8064 0.0000
Li 1.8064 0.0000 1.9013
Se 0.0000 1.8064 1.9013
```

Summary:
Spin magnetization = 3.202 μB/f.u.
Formation energy from raw total energies = 4 meV per atom

***

[3]
Computed, not measured: LiCoSe2 after structural relaxation at the PBE level of DFT.

extended XYZ file:
```
4
Lattice="-2.1734 -1.8212 -1.9750 2.4017 -1.1119 -1.6176 -0.0394 -4.9567 4.6141" Properties=species:S:1:pos:R:3 pbc="T T T"
Co -0.4961 -2.4278 -0.2384
Li 0.6851 -5.4621 1.2599
Se 0.4614 -0.3003 -0.2309
Se 0.7198 -2.7340 1.7291
```

Summary:
Spin magnetization = 0.781 μB/f.u.
Formation energy from raw total energies = -325 meV per atom

***

[4]
Computed, not measured: LiCo2Se after structural relaxation at the PBE level of DFT.

extended XYZ file:
```
4
Lattice="7.9925 0.0062 0.0036 7.4689 2.8453 0.0036 7.4689 1.3775 2.4897" Properties=species:S:1:pos:R:3 pbc="T T T"
Co 0.1914 0.0353 0.0208
Co 11.2737 2.0792 1.2276
Li 5.7326 1.0572 0.6242
Se 17.1977 3.1717 1.8727
```

Summary:
Spin magnetization = 2.705 μB/f.u.
Formation energy from raw total energies = 357 meV per atom

***

[5]
Computed, not measured: LiCoSi2Se after structural relaxation at the PBE level of DFT.

extended XYZ file:
```
5
Lattice="4.9076 0.0000 0.0000 0.0000 4.2945 0.0000 0.0000 0.0000 4.9076" Properties=species:S:1:pos:R:3 pbc="T T T"
Si 0.0000 0.0000 2.4538
Si 2.4538 0.0000 0.0000
Co 2.4538 2.1473 2.4538
Se 0.0000 0.0000 0.0000
Li 0.0000 2.1473 0.0000
```

Summary:
Spin magnetization = 1.839 μB/f.u.
Formation energy from raw total energies = 948 meV per atom

***

[6]
Computed, not measured: LiTiCoSe3 after structural relaxation at the PBE level of DFT.

extended XYZ file:
```
12
Lattice="3.5615 0.0000 0.0000 0.0000 7.3981 0.1137 0.0000 -2.7824 8.6519" Properties=species:S:1:pos:R:3 pbc="T T T"
Li 2.6711 3.6663 6.5928
Li 0.8904 0.9494 2.1727
Ti 0.8904 4.6371 1.6184
Ti 2.6711 -0.0214 7.1471
Co 0.8904 -1.0348 5.1676
Co 2.6711 5.6505 3.5980
Se 0.8904 4.2075 4.1519
Se 2.6711 6.4402 1.3706
Se 2.6711 2.7692 1.2253
Se 2.6711 0.4082 4.6136
Se 0.8904 1.8465 7.5402
Se 0.8904 -1.8245 7.3950
```

Summary:
Spin magnetization = 1.426 μB/f.u.
Formation energy from raw total energies = -891 meV per atom